Below is a relaxed Ba2MnCdO5 crystal, with properties calculated at the GGA+U level.

Results
SG ... Cmc2_1, No. 36
Final energy ... -5.936 eV per atom

abc: 3.6823 7.3695 11.1507
angles: 90.00 90.00 104.47
Closest atoms and distances in Å follow each position.
Positions (direct):
Ba1 0.8975 0.7950 0.1876  5 O 2.62-2.75
Ba2 0.8431 0.6862 0.8274  7 O 2.75-2.81
Ba3 0.1025 0.2050 0.6876  5 O 2.62-2.75
Ba4 0.1569 0.3138 0.3274  7 O 2.75-2.81
O1 0.0321 0.0642 0.9873  2 Mn 1.91
O2 0.3955 0.7910 0.0052  1 Mn 1.93
O3 0.6045 0.2090 0.5052  1 Mn 1.93
O4 0.3433 0.6866 0.3958  1 Mn 2.00
O5 0.4827 0.9654 0.7890  1 Mn 1.82
O6 0.2847 0.5694 0.6562  2 Cd 2.33
O7 0.5173 0.0346 0.2890  1 Mn 1.82
O8 0.6567 0.3134 0.8958  1 Mn 2.00
O9 0.7153 0.4306 0.1562  2 Cd 2.33
O10 0.9679 0.9358 0.4873  2 Mn 1.91
Mn1 0.4780 0.9559 0.4439  5 O 1.82-2.00
Mn2 0.5220 0.0441 0.9439  5 O 1.82-2.00
Cd1 0.8059 0.6118 0.5316  5 O 2.33-2.44
Cd2 0.1941 0.3882 0.0316  5 O 2.33-2.44